Here is an optimized crystal structure of KPrCuBr5 from Alexandria via LeMat-Bulk. Energies are from PBE.

- V (Å³/atom) = 36.45
- ΔE_f (raw) (eV/atom) = -1.425
- DOS at the Fermi energy (states/eV per cell) = 0.00
- ρ (g/cm³) = 3.663
- magnetic moment (μB per formula unit) = 0.15
- E (eV per atom) = -3.718

Geometry as POSCAR:
```
KPrCuBr5
1.0
4.682 -6.299 0.000
4.682 6.299 0.000
-4.244 0.000 9.885
K Pr Cu Br
2 2 2 10
Direct
0.139 0.861 0.750
0.861 0.139 0.250
0.500 0.500 0.000
0.500 0.500 0.500
0.188 0.812 0.250
0.812 0.188 0.750
0.109 0.251 0.931
0.174 0.581 0.372
0.251 0.109 0.431
0.405 0.595 0.750
0.419 0.826 0.128
0.581 0.174 0.872
0.595 0.405 0.250
0.749 0.891 0.569
0.826 0.419 0.628
0.891 0.749 0.069
```